A plane-wave DFT calculation with PBE was carried out for a geometry-optimized SrBF2 structure.

CIF file:
```
data_SrBF2
_chemical_formula_sum 'Sr4 B4 F8'
_space_group_name_H-M_alt 'I -4 2 d'
_space_group_IT_number 122
_space_group_name_Hall 'I -4 2bw'
_cell_length_a 4.474
_cell_length_b 4.474
_cell_length_c 14.751
_cell_angle_alpha 90.00
_cell_angle_beta 90.00
_cell_angle_gamma 90.00
loop_
_atom_site_label
_atom_site_type_symbol
_atom_site_fract_x
_atom_site_fract_y
_atom_site_fract_z
Sr1 Sr 0.000 0.000 0.000
B1 B 0.000 0.000 0.500
F1 F 0.245 0.250 0.125
```

Energy above the most stable polymorph in this dataset ... 235 meV per atom
Crystal system ... tetragonal
Total moment ... 0.22 μB/atom
DOS at the Fermi energy ... 0.524 states/eV/atom
Final energy ... -4.268 eV per atom
Formation energy without anion corrections ... -1.242 eV per atom